Entry from the Alexandria database: an optimized crystal structure of Ac3P2Pd9Pb (GGA-PBE).

a = 7.2486 Å, b = 7.2486 Å, c = 7.3762 Å
α = 90.00°, β = 90.00°, γ = 120.00°
Sites, in units of the cell vectors:
Pd: 0.8092 0.1908 0.6734
Pd: 0.8092 0.6183 0.6734
Pd: 0.1908 0.8092 0.3266
Pd: 0.6183 0.8092 0.3266
Pd: 0.0000 0.5000 0.0000
Pd: 0.5000 0.0000 0.0000
Pd: 0.1908 0.3817 0.3266
Pd: 0.3817 0.1908 0.6734
Pd: 0.5000 0.5000 0.0000
Ac: 0.0000 0.0000 0.0000
Ac: 0.3333 0.6667 0.6716
Ac: 0.6667 0.3333 0.3284
P: 0.3333 0.6667 0.1267
P: 0.6667 0.3333 0.8733
Pb: 0.0000 0.0000 0.5000

Properties
M_tot ... 0.0 μB/cell
Formation energy ... -10.14 eV per formula unit
VASP energy ... -5.582 eV/atom
SG ... P-3m1, No. 164
Crystal system ... trigonal
DOS(E_F) ... 0.26 states/eV/atom

Entry from the Alexandria database: an optimized crystal structure of La4PuN4 (GGA-PBE).

a = 5.8798 Å, b = 5.8798 Å, c = 7.0960 Å
α = 114.48°, β = 114.48°, γ = 90.00°
Sites, in units of the cell vectors:
La: 0.0000 0.5000 0.0000
La: 0.5000 0.0000 0.0000
La: 0.2770 0.2770 0.5539
La: 0.7230 0.7230 0.4461
N: 0.6385 0.6385 0.7509
N: 0.1123 0.1123 0.7509
N: 0.8877 0.3615 0.2491
N: 0.3615 0.8877 0.2491
Pu: 0.0000 0.0000 0.0000

Properties
M_tot ... 7.8 μB/cell
Energy above the lowest structure with this stoichiometry ... 330 meV/atom
ΔE_f (raw) ... -0.821 eV per atom
VASP energy ... -8.304 eV/atom
SG ... I-42m, No. 121
Crystal system ... tetragonal
DOS(E_F) ... 0.82 states/eV/atom

Entry from the Alexandria database: an optimized crystal structure of CaFeTe2 (GGA-PBE).

a = 5.1959 Å, b = 5.1959 Å, c = 5.1959 Å
α = 60.00°, β = 60.00°, γ = 60.00°
Sites, in units of the cell vectors:
Ca: 0.0000 0.0000 0.0000
Te: 0.2500 0.2500 0.2500
Te: 0.7500 0.7500 0.7500
Fe: 0.5000 0.5000 0.5000

Properties
M_tot ... 3.2 μB/cell
ΔE_f (raw) ... -0.239 eV per atom
VASP energy ... -4.426 eV/atom
SG ... Fm-3m, No. 225
Crystal system ... cubic
DOS(E_F) ... 2.31 states/eV/atom

Entry from the Alexandria database: an optimized crystal structure of Rb3Cu2Bi5S10 (GGA-PBE).

a = 4.0746 Å, b = 14.8053 Å, c = 18.1698 Å
α = 90.00°, β = 90.00°, γ = 90.00°
Sites, in units of the cell vectors:
S: 0.5000 0.2985 0.2276
S: 0.0000 0.6203 0.5529
S: 0.5000 0.4049 0.6353
S: 0.0000 0.3293 0.0321
S: 0.0000 0.3797 0.4471
S: 0.5000 0.1707 0.5321
S: 0.5000 0.8797 0.0529
S: 0.5000 0.7015 0.7724
S: 0.0000 0.1288 0.3504
S: 0.5000 0.1203 0.9471
S: 0.5000 0.8293 0.4679
S: 0.0000 0.9049 0.8647
S: 0.0000 0.2015 0.7276
S: 0.0000 0.0951 0.1353
S: 0.0000 0.7985 0.2724
S: 0.5000 0.6288 0.1496
S: 0.0000 0.6707 0.9679
S: 0.0000 0.8712 0.6496
S: 0.5000 0.3712 0.8504
S: 0.5000 0.5951 0.3647
Rb: 0.5000 0.9788 0.2471
Rb: 0.5000 0.5000 0.0000
Rb: 0.0000 0.5212 0.7471
Rb: 0.0000 0.4788 0.2529
Rb: 0.0000 0.0000 0.5000
Rb: 0.5000 0.0212 0.7529
Bi: 0.5000 0.2156 0.0943
Bi: 0.5000 0.2382 0.3961
Bi: 0.0000 0.2844 0.5943
Bi: 0.5000 0.7618 0.6039
Bi: 0.5000 0.5000 0.5000
Bi: 0.0000 0.7382 0.1039
Bi: 0.0000 0.0000 0.0000
Bi: 0.5000 0.7844 0.9057
Bi: 0.0000 0.2618 0.8961
Bi: 0.0000 0.7156 0.4057
Cu: 0.5000 0.7273 0.2495
Cu: 0.0000 0.7727 0.7495
Cu: 0.0000 0.2273 0.2505
Cu: 0.5000 0.2727 0.7505

Properties
M_tot ... 0.0 μB/cell
ΔE_f (raw) ... -0.595 eV per atom
VASP energy ... -4.184 eV/atom
SG ... Pnnm, No. 58
Crystal system ... orthorhombic

Entry from the Alexandria database: an optimized crystal structure of Ta6Ni12Pd (GGA-PBE).

a = 7.0384 Å, b = 7.0384 Å, c = 7.0384 Å
α = 108.09°, β = 108.09°, γ = 108.09°
Sites, in units of the cell vectors:
Ni: 0.5000 0.1079 0.8921
Ni: 0.1079 0.8921 0.5000
Ni: 0.6410 0.6410 0.8578
Ni: 0.8578 0.6410 0.6410
Ni: 0.3590 0.3590 0.1422
Ni: 0.8921 0.5000 0.1079
Ni: 0.1079 0.5000 0.8921
Ni: 0.1422 0.3590 0.3590
Ni: 0.6410 0.8578 0.6410
Ni: 0.5000 0.8921 0.1079
Ni: 0.3590 0.1422 0.3590
Ni: 0.8921 0.1079 0.5000
Pd: 0.0000 0.0000 0.0000
Ta: 0.6909 0.6909 0.2539
Ta: 0.7461 0.3091 0.3091
Ta: 0.2539 0.6909 0.6909
Ta: 0.6909 0.2539 0.6909
Ta: 0.3091 0.7461 0.3091
Ta: 0.3091 0.3091 0.7461

Properties
M_tot ... 0.0 μB/cell
Formation energy ... 2.34 eV per formula unit
VASP energy ... -7.544 eV/atom
SG ... R-3m, No. 166
Crystal system ... trigonal
DOS(E_F) ... 0.77 states/eV/atom

Entry from the Alexandria database: an optimized crystal structure of Ac12Co5Ru (GGA-PBE).

a = 7.3656 Å, b = 7.3693 Å, c = 13.6885 Å
α = 95.07°, β = 100.18°, γ = 60.02°
Sites, in units of the cell vectors:
Ac: 0.8698 0.6666 0.6130
Ac: 0.4636 0.6666 0.3870
Ac: 0.7967 0.0000 0.3872
Ac: 0.6250 0.0000 0.8846
Ac: 0.1302 0.3334 0.3870
Ac: 0.2033 0.0000 0.6128
Ac: 0.7011 0.3369 0.1155
Ac: 0.9621 0.3369 0.8845
Ac: 0.0379 0.6631 0.1155
Ac: 0.3750 0.0000 0.1154
Ac: 0.2989 0.6631 0.8845
Ac: 0.5364 0.3334 0.6130
Co: 0.1666 0.6668 0.5000
Co: 0.8334 0.3332 0.5000
Co: 0.6668 0.6665 0.0000
Co: 0.5000 0.0000 0.5000
Co: 0.3332 0.3335 0.0000
Ru: 0.0000 0.0000 0.0000

Properties
M_tot ... 0.0 μB/cell
Formation energy ... -1.06 eV per formula unit
VASP energy ... -5.287 eV/atom
SG ... C2/m, No. 12
Crystal system ... monoclinic
DOS(E_F) ... 0.96 states/eV/atom

Entry from the Alexandria database: an optimized crystal structure of Sr5Cd3 (GGA-PBE).

a = 4.0747 Å, b = 4.0747 Å, c = 18.5933 Å
α = 90.00°, β = 90.00°, γ = 90.00°
Sites, in units of the cell vectors:
Sr: 0.5000 0.5000 0.3926
Sr: 0.0000 0.0000 0.0000
Sr: 0.5000 0.5000 0.6074
Sr: 0.0000 0.0000 0.7834
Sr: 0.0000 0.0000 0.2166
Cd: 0.5000 0.5000 0.1114
Cd: 0.0000 0.0000 0.5000
Cd: 0.5000 0.5000 0.8886

Properties
M_tot ... 0.0 μB/cell
Energy above the lowest structure with this stoichiometry ... 0 meV/atom
Formation energy ... -2.09 eV per formula unit
VASP energy ... -1.656 eV/atom
SG ... P4/mmm, No. 123
Crystal system ... tetragonal
DOS(E_F) ... 0.72 states/eV/atom

Entry from the Alexandria database: an optimized crystal structure of Li6Tl3Ag (GGA-PBE).

a = 4.8194 Å, b = 8.1623 Å, c = 10.1844 Å
α = 108.66°, β = 90.00°, γ = 90.00°
Sites, in units of the cell vectors:
Li: 0.2500 0.1535 0.1901
Li: 0.2500 0.4570 0.0911
Li: 0.7500 0.7667 0.5062
Li: 0.2500 0.2333 0.4938
Li: 0.7500 0.8465 0.8099
Li: 0.7500 0.3419 0.3044
Li: 0.7500 0.9496 0.1180
Li: 0.2500 0.0504 0.8820
Li: 0.7500 0.5430 0.9089
Li: 0.7500 0.1393 0.6924
Li: 0.2500 0.6581 0.6956
Li: 0.2500 0.8607 0.3076
Tl: 0.2500 0.7709 0.9942
Tl: 0.7500 0.2291 0.0058
Tl: 0.7500 0.6560 0.2089
Tl: 0.2500 0.3440 0.7911
Tl: 0.7500 0.4583 0.6041
Tl: 0.2500 0.5417 0.3959
Ag: 0.2500 0.9442 0.5955
Ag: 0.7500 0.0558 0.4045

Properties
M_tot ... 0.0 μB/cell
Formation energy ... -2.11 eV per formula unit
VASP energy ... -2.354 eV/atom
SG ... P2_1/m, No. 11
Crystal system ... monoclinic
DOS(E_F) ... 0.26 states/eV/atom

Entry from the Alexandria database: an optimized crystal structure of PrNd2Sc2 (GGA-PBE).

a = 6.1965 Å, b = 6.6726 Å, c = 11.8473 Å
α = 43.41°, β = 105.17°, γ = 89.96°
Sites, in units of the cell vectors:
Nd: 0.9802 0.1639 0.7845
Nd: 0.0198 0.8361 0.2155
Nd: 0.1965 0.3356 0.2157
Nd: 0.8035 0.6644 0.7843
Sc: 0.3831 0.5541 0.5932
Sc: 0.2095 0.0547 0.5928
Sc: 0.6169 0.4459 0.4068
Sc: 0.7905 0.9453 0.4072
Pr: 0.5881 0.7492 0.0006
Pr: 0.4119 0.2508 0.9994

Properties
M_tot ... 0.0 μB/cell
Energy above the lowest structure with this stoichiometry ... 3 meV/atom
Formation energy ... 0.35 eV per formula unit
VASP energy ... -5.326 eV/atom
SG ... P-1, No. 2
Crystal system ... triclinic
DOS(E_F) ... 1.75 states/eV/atom

Entry from the Alexandria database: an optimized crystal structure of In3Ga2Sn2 (GGA-PBE).

a = 4.3620 Å, b = 4.4184 Å, c = 10.2499 Å
α = 102.45°, β = 102.29°, γ = 90.00°
Sites, in units of the cell vectors:
Sn: 0.1576 0.6576 0.3152
Sn: 0.8424 0.3424 0.6848
Ga: 0.4337 0.4337 0.8674
Ga: 0.5663 0.5663 0.1326
In: 0.0000 0.0000 0.0000
In: 0.6838 0.1838 0.3675
In: 0.3162 0.8162 0.6325

Properties
M_tot ... 0.0 μB/cell
Energy above the lowest structure with this stoichiometry ... 46 meV/atom
Formation energy ... 0.54 eV per formula unit
VASP energy ... -3.105 eV/atom
SG ... Immm, No. 71
Crystal system ... orthorhombic
DOS(E_F) ... 0.32 states/eV/atom

Entry from the Alexandria database: an optimized crystal structure of AlMoPt2 (GGA-PBE).

a = 9.0233 Å, b = 9.0233 Å, c = 9.0233 Å
α = 18.07°, β = 18.07°, γ = 18.07°
Sites, in units of the cell vectors:
Pt: 0.0027 0.0027 0.0027
Pt: 0.2444 0.2444 0.2444
Al: 0.5015 0.5015 0.5015
Mo: 0.7514 0.7514 0.7514

Properties
M_tot ... 0.0 μB/cell
Formation energy ... -1.43 eV per formula unit
VASP energy ... -7.020 eV/atom
SG ... R3m, No. 160
Crystal system ... trigonal
DOS(E_F) ... 0.74 states/eV/atom

Entry from the Alexandria database: an optimized crystal structure of ZrZn3Ni8 (GGA-PBE).

a = 4.7693 Å, b = 4.7693 Å, c = 7.7321 Å
α = 90.00°, β = 90.00°, γ = 120.00°
Sites, in units of the cell vectors:
Ni: 0.5027 0.0054 0.7519
Ni: 0.1643 0.3286 0.2480
Ni: 0.6714 0.8357 0.2480
Ni: 0.3333 0.6667 0.9989
Ni: 0.9946 0.4973 0.7519
Ni: 0.3333 0.6667 0.4990
Ni: 0.5027 0.4973 0.7519
Ni: 0.1643 0.8357 0.2480
Zr: 0.0000 0.0000 0.5726
Zn: 0.6667 0.3333 0.4199
Zn: 0.0000 0.0000 0.9527
Zn: 0.6667 0.3333 0.0572

Properties
M_tot ... 0.0 μB/cell
Formation energy ... -2.49 eV per formula unit
VASP energy ... -5.093 eV/atom
SG ... P3m1, No. 156
Crystal system ... trigonal
DOS(E_F) ... 1.37 states/eV/atom

The evaluated V for the records listed, in turn: 335.6 198.8 99.2 1096.1 281.3 633.4 308.7 379.6 311.2 188.3 61.7 152.3 Å³ per cell.